First-principles (GGA-PBE) data for MoPHS2 after structural relaxation, as listed in Alexandria via LeMat-Bulk.

POSCAR file:
```
MoPHS2
1.0
4.668 0.000 0.000
0.000 4.668 0.000
0.000 0.000 4.749
P Mo S H
1 1 2 1
Direct
0.000 0.000 0.500
0.000 0.000 0.000
0.000 0.500 0.000
0.500 0.000 0.000
0.500 0.500 0.500
```

As for the density of states at the Fermi level: 3.19 states/eV per cell. As for the total energy: -4.93 eV/atom. As for the space-group type: No. 123.